Record 1
Density functional theory data (PBE-GGA) for an optimized crystal structure of DyTmMnRu.

a = 4.871 Å, b = 4.871 Å, c = 4.871 Å
α = 60.00°, β = 60.00°, γ = 60.00°
Element x y z (fractional)
Dy1 0.000 0.000 0.000
Tm1 0.500 0.500 0.500
Mn1 0.750 0.750 0.750
Ru1 0.250 0.250 0.250

As for the space-group type: F-43m, No. 216. Its formation energy is -0.11 eV/atom. The value obtained for the uncorrected energy is -0.514 Ry per atom.

***

Record 2
Density functional theory data (PBE-GGA) for an optimized crystal structure of BiPBrCl2.

a = 5.264 Å, b = 5.264 Å, c = 5.975 Å
α = 90.00°, β = 90.00°, γ = 90.00°
Element x y z (fractional)
Bi1 0.000 0.000 0.000
P1 0.000 0.000 0.500
Br1 0.500 0.500 0.500
Cl1 0.000 0.500 0.000
Cl2 0.500 0.000 0.000

As for the space-group type: P4/mmm, No. 123. The value obtained for the uncorrected formation energy is 0.125 eV per atom. The value obtained for the uncorrected energy is -0.206 Ry per atom. For the distance to the lowest polymorph of the same formula, the calculation gives 0 kJ/mol of formula units.

***

Record 3
Density functional theory data (PBE-GGA) for an optimized crystal structure of Ho2Ga5Ru3.

a = 8.605 Å, b = 8.605 Å, c = 8.605 Å
α = 111.69°, β = 81.34°, γ = 141.35°
Element x y z (fractional)
Ho1 0.147 0.228 0.375
Ho2 0.353 0.728 0.081
Ho3 0.647 0.272 0.919
Ho4 0.853 0.772 0.625
Ga1 0.052 0.750 0.302
Ga2 0.081 0.690 0.770
Ga3 0.250 0.250 0.000
Ga4 0.419 0.190 0.609
Ga5 0.448 0.750 0.698
Ga6 0.552 0.250 0.302
Ga7 0.581 0.810 0.391
Ga8 0.750 0.750 0.000
Ga9 0.919 0.310 0.230
Ga10 0.948 0.250 0.698
Ru1 0.154 0.926 0.080
Ru2 0.250 0.750 0.500
Ru3 0.346 0.426 0.772
Ru4 0.654 0.574 0.228
Ru5 0.750 0.250 0.500
Ru6 0.846 0.074 0.920

As for the space-group type: Ibam, No. 72. Its formation energy is -0.54 eV/atom. The value obtained for the uncorrected energy is -0.423 Ry per atom.

***

Record 4
Density functional theory data (PBE-GGA) for an optimized crystal structure of ZrBeAl.

a = 2.926 Å, b = 2.926 Å, c = 6.803 Å
α = 90.00°, β = 90.00°, γ = 120.00°
Element x y z (fractional)
Zr1 0.000 0.000 0.000
Be1 0.667 0.333 0.664
Al1 0.333 0.667 0.377

As for the space-group type: P3m1, No. 156. Its formation energy is 0.21 eV/atom. The value obtained for the uncorrected energy is -0.377 Ry per atom. For the distance to the lowest polymorph of the same formula, the calculation gives 173 kJ/mol of formula units.